# Pr2Al3Ag6 PBE relaxed
data_Pr2Al3Ag6
_cell_length_a 7.8372
_cell_length_b 7.8372
_cell_length_c 4.4629
_cell_angle_alpha 90.00
_cell_angle_beta 90.00
_cell_angle_gamma 120.00
_symmetry_space_group_name_H-M 'P -6 2 m'
_symmetry_Int_Tables_number 189
_symmetry_space_group_name_Hall 'P -6 -2'
loop_
_atom_site_label
_atom_site_type_symbol
_atom_site_fract_x
_atom_site_fract_y
_atom_site_fract_z
_atom_site_occupancy
Pr1 Pr 0.3333 0.6667 0.0000 1
Al1 Al 0.0000 0.6178 0.5000 1
Ag1 Ag 0.0000 0.2890 0.5000 1
Ag2 Ag 0.0000 0.7930 0.0000 1
# DFT total energy in eV for the cell shown: -40.4
# Magnetization in μB/cell: 0.0
# V in Å³/f.u.: 237.4
# ΔE_f in meV per atom: -232

# PrAl3Ag10 PBE relaxed
data_PrAl3Ag10
_cell_length_a 13.131
_cell_length_b 13.131
_cell_length_c 13.131
_cell_angle_alpha 90.00
_cell_angle_beta 90.00
_cell_angle_gamma 90.00
_symmetry_space_group_name_H-M 'F m -3 m'
_symmetry_Int_Tables_number 225
_symmetry_space_group_name_Hall '-F 4 2 3'
loop_
_atom_site_label
_atom_site_type_symbol
_atom_site_fract_x
_atom_site_fract_y
_atom_site_fract_z
_atom_site_occupancy
Pr1 Pr 0.250 0.250 0.250 1
Al1 Al 0.000 0.000 0.239 1
Ag1 Ag 0.000 0.173 0.327 1
Ag2 Ag 0.115 0.115 0.115 1
# DFT total energy in eV for the cell shown: -353.0
# Magnetization in μB/cell: 0.0
# V in Å³/f.u.: 283.0
# ΔE_f in meV per atom: 28

# Pr2Al3Ag4 PBE relaxed
data_Pr2Al3Ag4
_cell_length_a 5.854
_cell_length_b 16.084
_cell_length_c 8.116
_cell_angle_alpha 90.00
_cell_angle_beta 90.00
_cell_angle_gamma 90.00
_symmetry_space_group_name_H-M 'C m c e'
_symmetry_Int_Tables_number 64
_symmetry_space_group_name_Hall '-C 2ac 2'
loop_
_atom_site_label
_atom_site_type_symbol
_atom_site_fract_x
_atom_site_fract_y
_atom_site_fract_z
_atom_site_occupancy
Pr1 Pr 0.000 0.105 0.099 1
Al1 Al 0.000 0.000 0.500 1
Al2 Al 0.250 0.233 0.750 1
Ag1 Ag 0.000 0.183 0.487 1
Ag2 Ag 0.250 0.066 0.750 1
# DFT total energy in eV for the cell shown: -138.9
# Magnetization in μB/cell: 0.0
# V in Å³/f.u.: 191.0
# ΔE_f in meV per atom: -281

# Pr3AlAg PBE relaxed
data_Pr3AlAg
_cell_length_a 5.383
_cell_length_b 19.988
_cell_length_c 5.392
_cell_angle_alpha 90.00
_cell_angle_beta 90.00
_cell_angle_gamma 90.00
_symmetry_space_group_name_H-M 'C m c m'
_symmetry_Int_Tables_number 63
_symmetry_space_group_name_Hall '-C 2c 2'
loop_
_atom_site_label
_atom_site_type_symbol
_atom_site_fract_x
_atom_site_fract_y
_atom_site_fract_z
_atom_site_occupancy
Pr1 Pr 0.000 0.062 0.250 1
Pr2 Pr 0.000 0.248 0.250 1
Pr3 Pr 0.000 0.432 0.250 1
Al1 Al 0.000 0.154 0.750 1
Ag1 Ag 0.000 0.344 0.750 1
# DFT total energy in eV for the cell shown: -87.8
# Magnetization in μB/cell: 0.5
# V in Å³/f.u.: 145.0
# ΔE_f in meV per atom: -204

# PrAl4Ag2 PBE relaxed
data_PrAl4Ag2
_cell_length_a 9.514
_cell_length_b 6.747
_cell_length_c 5.173
_cell_angle_alpha 90.00
_cell_angle_beta 122.89
_cell_angle_gamma 90.00
_symmetry_space_group_name_H-M 'C 1 2/m 1'
_symmetry_Int_Tables_number 12
_symmetry_space_group_name_Hall '-C 2y'
loop_
_atom_site_label
_atom_site_type_symbol
_atom_site_fract_x
_atom_site_fract_y
_atom_site_fract_z
_atom_site_occupancy
Pr1 Pr 0.000 0.000 0.000 1
Al1 Al 0.189 0.201 0.705 1
Ag1 Ag 0.060 0.500 0.307 1
# DFT total energy in eV for the cell shown: -53.5
# Magnetization in μB/cell: 0.0
# V in Å³/f.u.: 139.4
# ΔE_f in meV per atom: -188

# PrAl2Ag PBE relaxed
data_PrAl2Ag
_cell_length_a 4.454
_cell_length_b 4.454
_cell_length_c 4.447
_cell_angle_alpha 90.00
_cell_angle_beta 90.00
_cell_angle_gamma 90.00
_symmetry_space_group_name_H-M 'P 4/m m m'
_symmetry_Int_Tables_number 123
_symmetry_space_group_name_Hall '-P 4 2'
loop_
_atom_site_label
_atom_site_type_symbol
_atom_site_fract_x
_atom_site_fract_y
_atom_site_fract_z
_atom_site_occupancy
Pr1 Pr 0.000 0.000 0.000 1
Al1 Al 0.000 0.500 0.500 1
Ag1 Ag 0.500 0.500 0.000 1
# DFT total energy in eV for the cell shown: -16.0
# Magnetization in μB/cell: 0.0
# V in Å³/f.u.: 88.2
# ΔE_f in meV per atom: -213

# Pr3Al2Ag PBE relaxed
data_Pr3Al2Ag
_cell_length_a 3.625
_cell_length_b 3.625
_cell_length_c 12.153
_cell_angle_alpha 90.00
_cell_angle_beta 90.00
_cell_angle_gamma 90.00
_symmetry_space_group_name_H-M 'P 4/m m m'
_symmetry_Int_Tables_number 123
_symmetry_space_group_name_Hall '-P 4 2'
loop_
_atom_site_label
_atom_site_type_symbol
_atom_site_fract_x
_atom_site_fract_y
_atom_site_fract_z
_atom_site_occupancy
Pr1 Pr 0.000 0.000 0.000 1
Pr2 Pr 0.000 0.000 0.330 1
Al1 Al 0.500 0.500 0.170 1
Ag1 Ag 0.500 0.500 0.500 1
# DFT total energy in eV for the cell shown: -26.6
# Magnetization in μB/cell: 0.0
# V in Å³/f.u.: 159.7
# ΔE_f in meV per atom: -313

# Pr2Al3Ag2 PBE relaxed
data_Pr2Al3Ag2
_cell_length_a 4.441
_cell_length_b 19.372
_cell_length_c 7.507
_cell_angle_alpha 90.00
_cell_angle_beta 90.00
_cell_angle_gamma 90.00
_symmetry_space_group_name_H-M 'C m c m'
_symmetry_Int_Tables_number 63
_symmetry_space_group_name_Hall '-C 2c 2'
loop_
_atom_site_label
_atom_site_type_symbol
_atom_site_fract_x
_atom_site_fract_y
_atom_site_fract_z
_atom_site_occupancy
Pr1 Pr 0.000 0.055 0.250 1
Pr2 Pr 0.000 0.157 0.750 1
Al1 Al 0.000 0.225 0.250 1
Al2 Al 0.000 0.441 0.076 1
Ag1 Ag 0.000 0.311 0.556 1
# DFT total energy in eV for the cell shown: -115.7
# Magnetization in μB/cell: 0.0
# V in Å³/f.u.: 161.5
# ΔE_f in meV per atom: -347

- Number 7 is which compound?
  Pr3Al2Ag